Record 1
DFT (GGA+U) results for a geometry-optimized Na3Sc2MoO6 structure.

Cell and atoms, written as extended XYZ:
```
12
Lattice="-1.087 4.413 3.162 -3.194 -1.121 -4.381 -1.837 -4.167 3.570" Properties=species:S:1:pos:R:3 pbc="T T T"
Na -3.763 -2.287 -1.346
Na -2.355 1.412 3.697
Na -3.059 -0.438 1.176
Sc -2.492 0.723 -1.867
Sc -1.789 2.568 0.648
Mo 0.000 0.000 0.000
O -4.360 0.139 3.187
O -3.500 1.538 -0.150
O -1.758 -1.015 -0.836
O -5.076 -1.741 0.624
O -2.618 -2.413 2.502
O -1.042 0.866 1.727
```

Calculated values
Total energy, eV/atom: -6.92
Magnetization, μB per atom: 0.250

=====

Record 2
DFT (GGA+U) results for a geometry-optimized Na2ScMoO4 structure.

Cell and atoms, written as extended XYZ:
```
8
Lattice="3.230 0.000 0.000 0.000 5.538 0.089 0.000 -1.941 5.446" Properties=species:S:1:pos:R:3 pbc="T T T"
Na 1.615 -0.971 2.723
Na 0.000 1.798 2.768
Sc 1.615 2.769 0.045
Mo 0.000 0.000 0.000
O 1.615 0.928 1.154
O 1.615 2.669 4.382
O 0.000 -0.038 4.349
O 0.000 3.635 1.187
```

Calculated values
Total energy, eV/atom: -6.76
Magnetization, μB per atom: 0.375

=====

Record 3
DFT (GGA+U) results for a geometry-optimized NaScMo2O8 structure.

Cell and atoms, written as extended XYZ:
```
12
Lattice="-2.724 -4.753 -2.504 5.783 0.797 -1.484 -0.115 -0.918 5.952" Properties=species:S:1:pos:R:3 pbc="T T T"
Na 0.000 0.000 0.000
Sc 3.599 -1.049 1.237
Mo -0.655 -3.825 0.727
Mo 1.530 -1.978 -1.994
O -0.692 -2.033 0.823
O 2.203 -1.371 -0.441
O -0.236 -2.239 3.679
O -1.751 -4.149 2.110
O 1.436 -3.773 -1.924
O -1.145 -4.535 -0.846
O 0.970 -4.580 0.822
O 2.485 -2.365 2.614
```

Calculated values
Total energy, eV/atom: -7.13
Magnetization, μB per atom: 0.000

=====

Record 4
DFT (GGA+U) results for a geometry-optimized NaMoSeO6 structure.

Cell and atoms, written as extended XYZ:
```
18
Lattice="-4.334 -1.627 -2.267 1.708 -2.332 4.268 -5.539 6.624 5.836" Properties=species:S:1:pos:R:3 pbc="T T T"
Na 0.000 0.000 0.000
Na -2.770 3.312 2.918
Mo -3.705 -0.206 1.370
Mo -4.460 2.871 6.467
Se -1.691 -0.441 3.549
Se -6.474 3.107 4.288
O -2.354 -1.449 2.158
O -0.232 0.007 2.518
O -5.283 3.586 2.969
O -7.933 2.658 5.319
O -2.905 0.787 2.909
O -0.987 0.846 4.662
O -7.380 4.581 3.661
O -2.882 -0.920 4.868
O -7.178 1.820 3.175
O -0.785 -1.916 4.176
O -5.260 1.879 4.928
O -5.812 4.115 5.679
```

Calculated values
Total energy, eV/atom: -5.83
Magnetization, μB per atom: 0.111

=====

Record 5
DFT (GGA+U) results for a geometry-optimized NaMoSeO5 structure.

Cell and atoms, written as extended XYZ:
```
16
Lattice="5.664 0.448 -0.218 -1.225 5.548 -0.218 -2.098 -2.834 7.238" Properties=species:S:1:pos:R:3 pbc="T T T"
Na 0.403 3.246 1.591
Na 1.938 -0.084 5.210
Mo -1.049 -1.417 3.619
Mo 0.000 0.000 0.000
Se 3.046 1.289 1.591
Se -0.705 1.872 5.210
O -1.685 4.792 1.591
O 4.026 -1.630 5.210
O 4.396 1.870 0.075
O -2.056 1.291 6.725
O 2.884 -0.172 3.106
O -0.544 3.333 3.694
O 2.654 2.762 2.411
O -0.314 0.400 4.389
O 1.523 1.234 0.770
O 0.818 1.928 6.030
```

Calculated values
Total energy, eV/atom: -5.83
Magnetization, μB per atom: 0.125

=====

Record 6
DFT (GGA+U) results for a geometry-optimized Na2MoSeO6 structure.

Cell and atoms, written as extended XYZ:
```
10
Lattice="-3.583 2.052 2.094 2.089 -1.363 4.910 2.793 4.745 0.129" Properties=species:S:1:pos:R:3 pbc="T T T"
Na 0.993 -0.652 2.485
Na 1.345 2.402 0.094
Mo -2.094 1.199 1.224
Se 0.232 2.956 3.810
O -1.307 2.221 2.644
O 0.154 4.705 2.712
O 1.524 2.216 3.055
O -0.727 0.416 0.425
O 1.248 3.992 5.282
O -0.214 1.508 5.215
```

Calculated values
Total energy, eV/atom: -5.66
Magnetization, μB per atom: 0.000

=====

Record 7
DFT (GGA+U) results for a geometry-optimized Na2MoSeO6 structure.

Cell and atoms, written as extended XYZ:
```
40
Lattice="-6.763 4.341 2.709 -5.103 -6.055 -3.036 0.381 -4.051 7.441" Properties=species:S:1:pos:R:3 pbc="T T T"
Na -6.069 -1.249 6.848
Na -5.340 -2.681 3.308
Na -8.529 -3.663 -1.219
Na -2.909 -1.461 1.802
Na -8.800 -2.320 1.572
Na -2.600 -6.997 5.651
Na -6.501 1.809 6.489
Na -5.192 -6.503 4.007
Mo -9.112 -0.773 4.786
Mo -0.110 -0.055 0.068
Mo -8.177 -5.933 2.113
Mo -5.572 -4.771 7.261
Se -2.781 -2.972 6.527
Se -7.208 0.911 2.528
Se -7.718 -3.875 4.781
Se -5.264 -5.596 0.393
O -7.481 -7.351 3.699
O -6.899 -4.790 3.553
O -4.503 0.564 6.127
O -1.318 -1.938 -0.013
O -3.596 -3.838 2.171
O -6.779 -3.155 8.232
O -4.295 -8.572 5.089
O -2.779 -6.232 3.403
O -4.377 -5.490 6.145
O -10.431 -1.889 3.363
O -8.573 -0.148 2.705
O -7.629 0.034 5.371
O -8.057 -4.616 0.912
O -6.038 -6.443 1.697
O -0.617 -0.643 2.167
O -3.628 -1.281 4.192
O -2.251 0.479 0.439
O -6.763 0.521 8.475
O -6.299 -3.390 5.657
O -10.494 -2.768 -0.214
O -7.902 -2.413 3.861
O -5.371 -1.205 1.439
O -7.418 -1.712 -0.423
O -4.322 -2.915 7.326
```

Calculated values
Total energy, eV/atom: -5.83
Magnetization, μB per atom: 0.000

=====

Record 8
DFT (GGA+U) results for a geometry-optimized Na2Mo2Se2O11 structure.

Cell and atoms, written as extended XYZ:
```
34
Lattice="-0.379 6.505 -6.297 1.318 0.647 -8.942 -8.169 -0.154 -4.900" Properties=species:S:1:pos:R:3 pbc="T T T"
Na -0.190 3.253 -3.148
Na -3.426 0.246 -6.921
Na -6.102 4.995 -10.601
Na -1.129 2.003 -9.537
Mo -2.024 5.535 -9.952
Mo -1.854 4.068 -6.595
Mo -5.207 1.463 -10.186
Mo -5.376 2.930 -13.543
Se -2.120 3.240 -12.751
Se -0.170 0.879 -6.272
Se -5.111 3.758 -7.387
Se -7.061 6.119 -13.866
O -3.751 5.447 -10.132
O -0.276 4.671 -6.183
O -3.479 1.551 -10.007
O -6.955 2.327 -13.955
O -1.395 0.468 -2.673
O -1.600 6.087 -15.250
O -5.836 6.530 -17.465
O -5.630 0.911 -4.888
O -1.775 4.233 -8.530
O -5.456 2.764 -11.608
O -2.085 3.336 -4.688
O -1.882 6.571 -11.722
O -5.146 3.662 -15.450
O -5.349 0.427 -8.416
O -1.603 3.783 -11.196
O -1.179 2.038 -7.059
O -5.627 3.215 -8.942
O -6.051 4.960 -13.080
O -3.484 4.206 -13.151
O -7.506 1.593 -9.943
O -3.747 2.792 -6.987
O 0.276 5.405 -10.195
```

Calculated values
Total energy, eV/atom: -6.01
Magnetization, μB per atom: 0.000

=====

Record 9
DFT (GGA+U) results for a geometry-optimized NaSi2MoO6 structure.

Cell and atoms, written as extended XYZ:
```
20
Lattice="4.983 -0.333 -0.346 1.166 6.747 0.123 1.166 -0.127 6.747" Properties=species:S:1:pos:R:3 pbc="T T T"
Na 2.412 6.067 0.611
Na 4.904 0.219 5.913
Si 2.702 5.217 4.161
Si 2.123 2.488 1.330
Si 4.614 1.070 2.363
Si 5.193 3.798 5.194
Mo 2.412 1.716 4.804
Mo 4.904 4.571 1.720
O 2.851 6.460 5.179
O 1.974 1.517 0.049
O 4.465 -0.174 1.345
O 5.342 4.770 6.475
O 3.254 5.467 2.690
O 1.570 3.968 1.134
O 4.062 0.819 3.834
O 5.746 2.318 5.390
O 6.024 4.425 3.813
O 3.784 2.474 1.787
O 1.292 1.861 2.711
O 3.532 3.813 4.736
```

Calculated values
Total energy, eV/atom: -7.21
Magnetization, μB per atom: 0.300

=====

Record 10
DFT (GGA+U) results for a geometry-optimized Na2Si2MoO6 structure.

Cell and atoms, written as extended XYZ:
```
11
Lattice="5.551 0.000 0.000 2.776 4.808 0.000 2.776 1.603 5.702" Properties=species:S:1:pos:R:3 pbc="T T T"
Na 8.327 4.808 3.415
Na 2.776 1.603 2.287
Si 5.551 3.205 4.000
Si 5.551 3.205 1.702
Mo 0.000 0.000 0.000
O 6.920 3.995 1.263
O 4.183 3.995 1.263
O 5.551 1.625 1.263
O 5.551 4.786 4.439
O 6.920 2.415 4.439
O 4.183 2.415 4.439
```

Calculated values
Total energy, eV/atom: -6.58
Magnetization, μB per atom: 0.182

=====

Record 11
DFT (GGA+U) results for a geometry-optimized NaSmMo2O8 structure.

Cell and atoms, written as extended XYZ:
```
12
Lattice="6.267 0.019 0.000 -2.762 5.626 0.000 -1.752 -2.822 5.314" Properties=species:S:1:pos:R:3 pbc="T T T"
Na 0.000 0.000 0.000
Sm -1.381 2.813 2.657
Mo 3.134 0.010 2.657
Mo 1.752 2.822 0.000
O 1.695 -0.467 1.686
O 0.325 2.472 1.028
O 0.319 -1.435 4.286
O 3.345 -1.491 3.628
O 3.180 3.173 1.028
O 4.572 0.486 1.686
O 2.922 1.510 3.628
O -0.319 1.435 4.286
```

Calculated values
Total energy, eV/atom: -7.11
Magnetization, μB per atom: 0.000

=====

Record 12
DFT (GGA+U) results for a geometry-optimized Na3Sm2MoO6 structure.

Cell and atoms, written as extended XYZ:
```
12
Lattice="-2.983 4.944 -1.369 1.649 -3.761 -4.283 -4.406 -3.153 2.416" Properties=species:S:1:pos:R:3 pbc="T T T"
Na -1.276 -3.982 -2.621
Na -4.465 2.011 -0.615
Na -2.870 -0.986 -1.618
Sm 0.107 -0.864 -3.314
Sm -1.442 2.047 -2.339
Mo 0.000 0.000 0.000
O -5.221 -0.184 -1.999
O -1.941 0.218 -3.735
O -0.520 -1.787 -1.238
O -3.752 -2.943 -2.922
O -3.800 -2.189 0.498
O -1.989 0.972 -0.314
```

Calculated values
Total energy, eV/atom: -6.52
Magnetization, μB per atom: 0.250

=====

- Which of these has the highest magnetization?
  Na2ScMoO4